# 1
A relaxed KHf3W crystal. Source: Alexandria, functional GGA-PBE.

Results
E_form	96.0	kJ/mol of atoms
E	-38.94	eV/f.u.
ρ	8.80	g/cm3

Cell: 5.2315 5.2315 5.2315 Å, 90.00 90.00 90.00°
Positions (direct):
K 0.0000 0.0000 0.0000
Hf 0.0000 0.5000 0.5000
Hf 0.5000 0.0000 0.5000
Hf 0.5000 0.5000 0.0000
W 0.5000 0.5000 0.5000

# 2
A relaxed KHf2W crystal. Source: Alexandria, functional GGA-PBE.

Results
E_form	106.3	kJ/mol of atoms
E	-29.55	eV/f.u.
relative energy among the computed polymorphs	0	meV per atom
ρ	11.18	g/cm3

Cell: 4.9565 4.9565 4.9565 Å, 60.00 60.00 60.00°
Positions (direct):
K 0.0000 0.0000 0.0000
Hf 0.2500 0.2500 0.2500
Hf 0.7500 0.7500 0.7500
W 0.5000 0.5000 0.5000

# 3
A relaxed KHfW3 crystal. Source: Alexandria, functional GGA-PBE.

Results
E_form	246.2	kJ/mol of atoms
E	-37.15	eV/f.u.
relative energy among the computed polymorphs	0	meV per atom
ρ	10.37	g/cm3

Cell: 4.9750 4.9750 4.9750 Å, 90.00 90.00 90.00°
Positions (direct):
K 0.0000 0.0000 0.0000
Hf 0.5000 0.5000 0.5000
W 0.0000 0.5000 0.5000
W 0.5000 0.0000 0.5000
W 0.5000 0.5000 0.0000

# 4
A relaxed KHfW2 crystal. Source: Alexandria, functional GGA-PBE.

Results
E_form	175.7	kJ/mol of atoms
E	-29.67	eV/f.u.
relative energy among the computed polymorphs	0	meV per atom
ρ	11.98	g/cm3

Cell: 4.8597 4.8597 4.8597 Å, 60.00 60.00 60.00°
Positions (direct):
K 0.0000 0.0000 0.0000
Hf 0.5000 0.5000 0.5000
W 0.2500 0.2500 0.2500
W 0.7500 0.7500 0.7500

# 5
A relaxed KHfW2 crystal. Source: Alexandria, functional GGA-PBE.

Results
E_form	184.9	kJ/mol of atoms
E	-29.29	eV/f.u.
relative energy among the computed polymorphs	96	meV per atom
ρ	8.93	g/cm3

Cell: 10.4068 10.4068 10.4068 Å, 153.91 153.91 37.23°
Positions (direct):
K 0.0000 0.0000 0.0000
K 0.7500 0.2500 0.5000
Hf 0.2500 0.7500 0.5000
Hf 0.5000 0.5000 0.0000
W 0.2822 0.6250 0.1572
W 0.3750 0.5322 0.6572
W 0.4678 0.1250 0.8428
W 0.8750 0.7178 0.3428

# 6
A relaxed K2Hf2W crystal. Source: Alexandria, functional GGA-PBE.

Results
E_form	216.3	kJ/mol of atoms
E	-23.85	eV/f.u.
relative energy among the computed polymorphs	149	meV per atom
ρ	8.56	g/cm3

Cell: 5.6593 5.6593 5.6593 Å, 123.75 123.75 83.62°
Positions (direct):
K 0.1421 0.1421 0.0000
K 0.8579 0.8579 0.0000
Hf 0.2500 0.7500 0.5000
Hf 0.7500 0.2500 0.5000
W 0.5000 0.5000 0.0000

# 7
A relaxed K2HfZnW crystal. Source: Alexandria, functional GGA-PBE.

Results
E_form	185.7	kJ/mol of atoms
E	-16.75	eV/f.u.
ρ	5.40	g/cm3

Cell: 5.4337 5.4337 5.2651 Å, 90.00 90.00 90.00°
Positions (direct):
K 0.0000 0.5000 0.0000
K 0.5000 0.0000 0.0000
Hf 0.0000 0.0000 0.5000
Zn 0.5000 0.5000 0.0000
W 0.5000 0.5000 0.5000

# 8
A relaxed KHfZnW2 crystal. Source: Alexandria, functional GGA-PBE.

Results
E_form	193.6	kJ/mol of atoms
E	-28.20	eV/f.u.
ρ	9.58	g/cm3

Cell: 4.7726 4.7726 4.9531 Å, 90.00 90.00 90.00°
Positions (direct):
K 0.0000 0.0000 0.0000
Hf 0.5000 0.5000 0.0000
Zn 0.0000 0.0000 0.5000
W 0.0000 0.5000 0.5000
W 0.5000 0.0000 0.5000